Li2BeGaGe | PBE | relaxed

```
Li2BeGaGe
1.0
4.707 0.000 0.000
0.000 4.707 0.000
0.000 0.000 4.927
Li Be Ga Ge
2 1 1 1
Direct
0.000 0.500 0.000
0.500 0.000 0.000
0.000 0.000 0.500
0.500 0.500 0.000
0.500 0.500 0.500
```

Properties
As for the calculated formation energy: 678 meV per atom. The density of states at the Fermi level is 2.2 states/eV/cell. The total energy is -2.361 eV/atom.